Record 1
Pm3Tl5Se12 | PBE | relaxed

a = 16.9420 Å, b = 16.9420 Å, c = 16.9420 Å
α = 90.00°, β = 90.00°, γ = 90.00°
Last column: nearest neighbours and their distance in Å.
Space group Ia-3d (No. 230)
Asymmetric unit:
Pm (0.0000, 0.2500, 0.1250)  8 Se 3.10-3.12
Tl (0.0000, 0.0000, 0.0000)  6 Se 2.92
Tl (0.0000, 0.2500, 0.3750)  4 Se 2.70
Se (0.0173, 0.0703, 0.6563)  2 Tl 2.70-2.92

As for the formation energy from raw total energies: -0.733 eV/atom. As for the crystal system: cubic.

Record 2
Ta2Ru | PBE | relaxed

a = 3.2696 Å, b = 4.6668 Å, c = 13.1677 Å
α = 90.00°, β = 90.00°, γ = 90.00°
Last column: nearest neighbours and their distance in Å.
Space group Fmmm (No. 69)
Asymmetric unit:
Ta (0.0000, 0.0000, 0.1616)  2 Ru 2.68, 6 Ta 2.84-2.85
Ru (0.0000, 0.0000, 0.5000)  4 Ta 2.68, 4 Ru 2.85

Its energy of formation is -0.1316 eV per atom. As for the crystal system: orthorhombic.

Record 3
Na2MgHg2 | PBE | relaxed

a = 7.6145 Å, b = 7.6145 Å, c = 4.6541 Å
α = 90.00°, β = 90.00°, γ = 90.00°
Last column: nearest neighbours and their distance in Å.
Space group P4/mbm (No. 127)
Asymmetric unit:
Na (0.1653, 0.3347, 0.0000)  6 Hg 3.13-3.30
Mg (0.0000, 0.0000, 0.5000)  4 Hg 2.94
Hg (0.1407, 0.6407, 0.5000)  2 Mg 2.94, 1 Hg 3.03, 2 Na 3.13

Its energy of formation is -0.1737 eV per atom. As for the energy above the most stable polymorph in this dataset: 0.0038 eV per atom. As for the crystal system: tetragonal.

Record 4
OsSeBrN2 | PBE | relaxed

a = 3.7242 Å, b = 3.7242 Å, c = 7.0740 Å
α = 90.00°, β = 90.00°, γ = 90.00°
Last column: nearest neighbours and their distance in Å.
Space group P4/mmm (No. 123)
Asymmetric unit:
Os (0.0000, 0.0000, 0.0000)  4 Se 2.63
Se (0.5000, 0.5000, 0.0000)  4 Os 2.63
Br (0.5000, 0.5000, 0.5000)  4 N 1.86
N (0.0000, 0.5000, 0.5000)  2 Br 1.86

As for the energy above the most stable polymorph in this dataset: 1.9652 eV per atom. As for the formation energy from raw total energies: 2.672 eV/atom. As for the crystal system: tetragonal.

Record 5
KBaTc | PBE | relaxed

a = 7.8936 Å, b = 7.8936 Å, c = 7.8936 Å
α = 90.00°, β = 90.00°, γ = 90.00°
Last column: nearest neighbours and their distance in Å.
Space group F-43m (No. 216)
Asymmetric unit:
K (0.0000, 0.0000, 0.0000)  4 Tc 3.42
Ba (0.0000, 0.0000, 0.5000)  4 Tc 3.42
Tc (0.2500, 0.2500, 0.2500)  4 Ba 3.42, 4 K 3.42

Its energy of formation is 1.3438 eV per atom. As for the energy above the most stable polymorph in this dataset: 0.2057 eV per atom. As for the crystal system: cubic.

Record 6
Al2HS2 | PBE | relaxed

a = 6.7610 Å, b = 6.7610 Å, c = 10.6751 Å
α = 90.00°, β = 90.00°, γ = 90.00°
Last column: nearest neighbours and their distance in Å.
Space group I4_1md (No. 109)
Asymmetric unit:
Al (0.0000, 0.2320, 0.0000)  1 H 1.88
H (0.0000, 0.0000, 0.7023)  2 Al 1.88
S (0.0000, 0.2497, 0.2170)  3 Al 2.32-2.33

As for the electronic total energy: -4.2340 eV per atom. As for the crystal system: tetragonal.

Record 7
BeSiSb2 | PBE | relaxed

a = 6.8227 Å, b = 3.8482 Å, c = 6.6309 Å
α = 90.00°, β = 109.67°, γ = 90.00°
Last column: nearest neighbours and their distance in Å.
Space group C2/m (No. 12)
Asymmetric unit:
Be (0.0000, 0.0000, 0.0000)  6 Sb 2.66-2.68
Si (0.0000, 0.5000, 0.5000)  6 Sb 2.81-2.82
Sb (0.2424, 0.5000, 0.2293)  3 Be 2.66-2.68, 3 Si 2.81-2.82

As for the formation energy from raw total energies: 0.353 eV/atom. As for the crystal system: monoclinic.

Record 8
Nd12AlTl3 | PBE | relaxed

a = 4.9675 Å, b = 4.9675 Å, c = 19.9255 Å
α = 90.00°, β = 90.00°, γ = 90.00°
Last column: nearest neighbours and their distance in Å.
Space group P4/mmm (No. 123)
Asymmetric unit:
Nd (0.0000, 0.0000, 0.0000)  8 Nd 3.45, 4 Al 3.51
Nd (0.0000, 0.0000, 0.2468)  4 Tl 3.51, 8 Nd 3.54-3.55
Nd (0.0000, 0.0000, 0.5000)  4 Tl 3.51, 8 Nd 3.54
Nd (0.0000, 0.5000, 0.1201)  8 Nd 3.45-3.54, 2 Al 3.45, 2 Tl 3.56
Nd (0.0000, 0.5000, 0.3737)  8 Nd 3.51-3.55, 4 Tl 3.53-3.54
Al (0.5000, 0.5000, 0.0000)  12 Nd 3.45-3.51
Tl (0.5000, 0.5000, 0.2481)  12 Nd 3.51-3.56
Tl (0.5000, 0.5000, 0.5000)  12 Nd 3.51-3.54

Its energy of formation is -0.1980 eV per atom. As for the crystal system: tetragonal.

Record 9
Ba4Sr3Cd | PBE | relaxed

a = 4.3286 Å, b = 4.3286 Å, c = 23.2384 Å
α = 90.00°, β = 90.00°, γ = 90.00°
Last column: nearest neighbours and their distance in Å.
Space group P4/mmm (No. 123)
Asymmetric unit:
Ba (0.0000, 0.0000, 0.0871)  4 Cd 3.67, 1 Ba 4.05
Ba (0.0000, 0.0000, 0.3632)  4 Ba 4.33, 8 Sr 4.40-4.41
Sr (0.5000, 0.5000, 0.2269)  4 Sr 4.33, 8 Ba 4.40-4.46
Sr (0.5000, 0.5000, 0.5000)  4 Sr 4.33, 8 Ba 4.41
Cd (0.5000, 0.5000, 0.0000)  8 Ba 3.67

Its energy of formation is -0.0751 eV per atom. As for the crystal system: tetragonal.

Record 10
PRhBr2 | PBE | relaxed

a = 4.6054 Å, b = 4.6054 Å, c = 16.4745 Å
α = 90.00°, β = 90.00°, γ = 90.00°
Last column: nearest neighbours and their distance in Å.
Space group I-42d (No. 122)
Asymmetric unit:
P (0.0000, 0.0000, 0.0000)  4 Br 2.64
Rh (0.0000, 0.0000, 0.5000)  4 Br 2.61
Br (0.2405, 0.2500, 0.6250)  2 Rh 2.61, 2 P 2.64

As for the energy above the most stable polymorph in this dataset: 1.2281 eV per atom. As for the formation energy from raw total energies: 0.720 eV/atom. As for the crystal system: tetragonal.

Record 11
TmAlGa4 | PBE | relaxed

a = 3.8895 Å, b = 3.8895 Å, c = 8.4666 Å
α = 90.00°, β = 90.00°, γ = 90.00°
Last column: nearest neighbours and their distance in Å.
Space group P4/mmm (No. 123)
Asymmetric unit:
Tm (0.0000, 0.0000, 0.0000)  8 Ga 3.01
Al (0.5000, 0.5000, 0.5000)  8 Ga 2.74
Ga (0.0000, 0.5000, 0.2718)  2 Al 2.74, 4 Ga 2.75, 2 Tm 3.01

Its energy of formation is -0.1266 eV per atom. As for the energy above the most stable polymorph in this dataset: 0.0479 eV per atom. As for the crystal system: tetragonal.

Record 12
Nd5Th3Se8 | PBE | relaxed

a = 8.3872 Å, b = 8.3872 Å, c = 20.9052 Å
α = 90.00°, β = 90.00°, γ = 120.00°
Last column: nearest neighbours and their distance in Å.
Space group R-3m (No. 166, hexagonal axes)
Asymmetric unit:
Nd (0.0000, 0.0000, 0.0000)  6 Se 2.98
Nd (0.0000, 0.0000, 0.5000)  6 Se 2.98
Nd (0.0000, 0.5000, 0.0000)  6 Se 2.98
Th (0.0000, 0.5000, 0.5000)  6 Se 2.98-2.99
Se (0.0000, 0.0000, 0.2504)  3 Nd 2.98, 3 Th 2.99
Se (0.9998, 0.4999, 0.2500)  4 Nd 2.98, 2 Th 2.98

As for the formation energy from raw total energies: -1.721 eV/atom. As for the crystal system: trigonal.

D(E_F) per entry: 0.433; 1.408; 0.412; 0.948; 1.118; 0.249; 0.356; 1.532; 1.269; 0.537; 0.532; 0.524 states/eV per atom
Volume per entry: 30.4; 16.7; 27.0; 19.6; 41.0; 24.4; 20.5; 30.7; 54.4; 21.8; 21.3; 26.5 A^3/atom